The following is a DFT calculation (PBE-GGA) of crystalline Cu2Ge2Ir at its relaxed geometry.

* E_form: 0.080 eV per atom
* size of the total moment: 0.00 μB per formula unit

```
Cu2Ge2Ir
1.0
6.4610 0.0000 0.0000
0.0000 6.4610 0.0000
0.0000 0.0000 3.5587
Cu Ge Ir
4 4 2
Direct
0.1491 0.3509 0.0000
0.3509 0.8509 0.0000
0.6491 0.1491 0.0000
0.8509 0.6491 0.0000
0.1445 0.6445 0.5000
0.3555 0.1445 0.5000
0.6445 0.8555 0.5000
0.8555 0.3555 0.5000
0.0000 0.0000 0.5000
0.5000 0.5000 0.5000
```

The following is a DFT calculation (PBE-GGA) of crystalline RhC3 at its relaxed geometry.

* E_form: 2.229 eV per atom
* size of the total moment: 0.00 μB per formula unit
* relative energy among the computed polymorphs: 1.661 eV per atom

```
RhC3
1.0
2.6125 0.0000 0.0000
-1.3062 2.2625 0.0000
0.0000 0.0000 5.5842
Rh C
1 3
Direct
0.0000 0.0000 0.0000
0.0000 0.0000 0.5000
0.3333 0.6667 0.3263
0.3333 0.6667 0.6737
```

The following is a DFT calculation (PBE-GGA) of crystalline Sm12Pb3N5 at its relaxed geometry.

* uncorrected formation energy: -16.3 eV/f.u.
* size of the total moment: 0.00 μB per formula unit

```
Sm12Pb3N5
1.0
-8.0458 8.0458 8.0458
8.0458 -8.0458 8.0458
8.0458 8.0458 -8.0458
Sm Pb N
48 12 20
Direct
0.0105 0.1958 0.1084
0.0105 0.3146 0.9020
0.0874 0.6958 0.6854
0.0874 0.8916 0.4020
0.0980 0.6084 0.4126
0.0980 0.9895 0.6854
0.1084 0.0105 0.1958
0.1084 0.5980 0.9126
0.1854 0.1958 0.5874
0.1854 0.4895 0.5980
0.1958 0.1084 0.0105
0.1958 0.5874 0.1854
0.3042 0.3146 0.9126
0.3042 0.4895 0.3916
0.3146 0.9020 0.0105
0.3146 0.9126 0.3042
0.3916 0.3042 0.4895
0.3916 0.5874 0.9020
0.4020 0.0874 0.8916
0.4020 0.8146 0.5105
0.4126 0.0980 0.6084
0.4126 0.8146 0.8042
0.4895 0.3916 0.3042
0.4895 0.5980 0.1854
0.5105 0.4020 0.8146
0.5105 0.6084 0.6958
0.5874 0.1854 0.1958
0.5874 0.9020 0.3916
0.5980 0.1854 0.4895
0.5980 0.9126 0.1084
0.6084 0.4126 0.0980
0.6084 0.6958 0.5105
0.6854 0.0874 0.6958
0.6854 0.0980 0.9895
0.6958 0.5105 0.6084
0.6958 0.6854 0.0874
0.8042 0.4126 0.8146
0.8042 0.8916 0.9895
0.8146 0.5105 0.4020
0.8146 0.8042 0.4126
0.8916 0.4020 0.0874
0.8916 0.9895 0.8042
0.9020 0.0105 0.3146
0.9020 0.3916 0.5874
0.9126 0.1084 0.5980
0.9126 0.3042 0.3146
0.9895 0.6854 0.0980
0.9895 0.8042 0.8916
0.1250 0.2500 0.3750
0.1250 0.3750 0.7500
0.2500 0.3750 0.1250
0.2500 0.8750 0.6250
0.3750 0.1250 0.2500
0.3750 0.7500 0.1250
0.6250 0.2500 0.8750
0.6250 0.8750 0.7500
0.7500 0.1250 0.3750
0.7500 0.6250 0.8750
0.8750 0.6250 0.2500
0.8750 0.7500 0.6250
0.0000 0.0000 0.0000
0.0000 0.0000 0.5000
0.0000 0.5000 0.0000
0.0000 0.5000 0.5000
0.1250 0.7500 0.8750
0.1250 0.8750 0.2500
0.2500 0.1250 0.8750
0.2500 0.6250 0.3750
0.3750 0.2500 0.6250
0.3750 0.6250 0.7500
0.5000 0.0000 0.0000
0.5000 0.0000 0.5000
0.5000 0.5000 0.0000
0.5000 0.5000 0.5000
0.6250 0.3750 0.2500
0.6250 0.7500 0.3750
0.7500 0.3750 0.6250
0.7500 0.8750 0.1250
0.8750 0.1250 0.7500
0.8750 0.2500 0.1250
```

The following is a DFT calculation (PBE-GGA) of crystalline Tb3Zn2Ni7 at its relaxed geometry.

* E_form: -0.432 eV per atom
* size of the total moment: 0.00 μB per formula unit

```
Tb3Zn2Ni7
1.0
2.5590 1.4774 8.0053
-2.5590 1.4774 8.0053
0.0000 -2.9549 8.0053
Tb Zn Ni
3 2 7
Direct
0.0000 0.0000 0.0000
0.1394 0.1394 0.1394
0.8606 0.8606 0.8606
0.3331 0.3331 0.3331
0.6669 0.6669 0.6669
0.0835 0.5832 0.5832
0.4168 0.4168 0.9165
0.4168 0.9165 0.4168
0.5000 0.5000 0.5000
0.5832 0.0835 0.5832
0.5832 0.5832 0.0835
0.9165 0.4168 0.4168
```

The following is a DFT calculation (PBE-GGA) of crystalline SiGe3I at its relaxed geometry.

* uncorrected formation energy: 3.2 eV/f.u.
* size of the total moment: 0.00 μB per formula unit
* relative energy among the computed polymorphs: 0.000 eV per atom

```
SiGe3I
1.0
5.0001 0.0000 0.0000
0.0000 5.0001 0.0000
0.0000 0.0000 5.0001
Si Ge I
1 3 1
Direct
0.0000 0.0000 0.0000
0.0000 0.0000 0.5000
0.0000 0.5000 0.0000
0.5000 0.0000 0.0000
0.5000 0.5000 0.5000
```

The following is a DFT calculation (PBE-GGA) of crystalline Tb4SmOs2 at its relaxed geometry.

* E_form: -0.138 eV per atom
* size of the total moment: 0.00 μB per formula unit

```
Tb4SmOs2
1.0
7.8319 0.0000 0.0000
0.0000 6.3823 0.0000
-3.0346 0.0000 7.3709
Tb Sm Os
8 2 4
Direct
0.1205 0.2500 0.4800
0.1752 0.7500 0.2494
0.2587 0.5012 0.9184
0.2587 0.9988 0.9184
0.7413 0.0012 0.0816
0.7413 0.4988 0.0816
0.8248 0.2500 0.7506
0.8795 0.7500 0.5200
0.4748 0.2500 0.3399
0.5252 0.7500 0.6601
0.0865 0.2500 0.1248
0.4759 0.2500 0.7584
0.5241 0.7500 0.2416
0.9135 0.7500 0.8752
```

The following is a DFT calculation (PBE-GGA) of crystalline Pr5NiHg at its relaxed geometry.

* E_form: -0.110 eV per atom
* size of the total moment: 0.00 μB per formula unit

```
Pr5NiHg
1.0
5.0368 -3.7689 0.0000
5.0368 3.7689 0.0000
-3.4377 0.0000 11.3359
Pr Ni Hg
10 2 2
Direct
0.0178 0.9822 0.7500
0.0567 0.4267 0.1350
0.2137 0.5592 0.4473
0.4267 0.0567 0.6350
0.4408 0.7863 0.0527
0.5592 0.2137 0.9473
0.5733 0.9433 0.3650
0.7863 0.4408 0.5527
0.9433 0.5733 0.8650
0.9822 0.0178 0.2500
0.0000 0.0000 0.0000
0.0000 0.0000 0.5000
0.4344 0.5656 0.7500
0.5656 0.4344 0.2500
```

The following is a DFT calculation (PBE-GGA) of crystalline RbNaBe2Br6 at its relaxed geometry.

* uncorrected formation energy: -12.4 eV/f.u.
* size of the total moment: 0.00 μB per formula unit

```
RbNaBe2Br6
1.0
5.4247 -8.0754 0.0000
5.4247 8.0754 0.0000
-3.3956 0.0000 8.5859
Rb Na Be Br
2 2 4 12
Direct
0.1822 0.8178 0.7500
0.8178 0.1822 0.2500
0.4591 0.5409 0.2500
0.5409 0.4591 0.7500
0.1697 0.3733 0.7580
0.3733 0.1697 0.2580
0.6267 0.8303 0.7420
0.8303 0.6267 0.2420
0.0400 0.6232 0.3341
0.1948 0.2274 0.1672
0.2274 0.1948 0.6672
0.3440 0.5744 0.9380
0.3768 0.9600 0.1659
0.4256 0.6560 0.5620
0.5744 0.3440 0.4380
0.6232 0.0400 0.8341
0.6560 0.4256 0.0620
0.7726 0.8052 0.3328
0.8052 0.7726 0.8328
0.9600 0.3768 0.6659
```

The following is a DFT calculation (PBE-GGA) of crystalline Sc2SbPt at its relaxed geometry.

* uncorrected formation energy: -3.2 eV/f.u.
* size of the total moment: 0.00 μB per formula unit

```
Sc2SbPt
1.0
3.9547 0.0000 0.0000
0.0000 3.9547 0.0000
0.0000 0.0000 5.8697
Sc Sb Pt
2 1 1
Direct
0.0000 0.0000 0.0000
0.5000 0.5000 0.3717
0.5000 0.5000 0.8667
0.0000 0.0000 0.4378
```

The following is a DFT calculation (PBE-GGA) of crystalline TbPm2Pr4Mg at its relaxed geometry.

* E_form: 0.004 eV per atom
* size of the total moment: 0.00 μB per formula unit

```
TbPm2Pr4Mg
1.0
5.1183 0.0000 0.0000
0.0000 5.1183 0.0000
0.0000 0.0000 10.2293
Tb Pm Pr Mg
1 2 4 1
Direct
0.0000 0.0000 0.0000
0.0000 0.0000 0.5000
0.5000 0.5000 0.0000
0.0000 0.5000 0.2534
0.0000 0.5000 0.7466
0.5000 0.0000 0.2534
0.5000 0.0000 0.7466
0.5000 0.5000 0.5000
```

The following is a DFT calculation (PBE-GGA) of crystalline ZrRh at its relaxed geometry.

* E_form: -0.050 eV per atom
* size of the total moment: 0.00 μB per formula unit

```
ZrRh
1.0
4.6541 0.0000 0.0000
-2.3271 4.0306 0.0000
0.0000 0.0000 7.8706
Zr Rh
4 4
Direct
0.0000 0.0000 0.2500
0.0000 0.0000 0.7500
0.3333 0.6667 0.2500
0.6667 0.3333 0.7500
0.3333 0.6667 0.5813
0.3333 0.6667 0.9187
0.6667 0.3333 0.0813
0.6667 0.3333 0.4187
```

The following is a DFT calculation (PBE-GGA) of crystalline LiYSiIr2 at its relaxed geometry.

* uncorrected formation energy: 0.7 eV/f.u.
* size of the total moment: 0.00 μB per formula unit

```
LiYSiIr2
1.0
4.4698 0.0000 0.0000
0.0000 4.4698 0.0000
0.0000 0.0000 5.1926
Li Y Si Ir
1 1 1 2
Direct
0.0000 0.0000 0.0000
0.5000 0.5000 0.0000
0.5000 0.5000 0.5000
0.0000 0.5000 0.5000
0.5000 0.0000 0.5000
```

Question: What is the size of the total moment in the twelfth record?
Answer: 0.00 μB per formula unit